No. 1
Entry from Alexandria: Hf2Al3 at its PBEsol-relaxed geometry (SCAN).

Cell: 9.4644 13.6673 5.4790 Å, 90.00 90.00 90.00°
Closest atoms and distances in Å follow each position.
Space group Fdd2 (No. 43)
Inequivalent atoms, fractional coordinates:
Hf (0.0643, 0.1971, 0.0000) [16 per cell]  9 Al 2.81-3.13
Al (0.0000, 0.0000, 0.1278) [8 per cell]  4 Al 2.65-2.68, 4 Hf 2.81-2.85
Al (0.0669, 0.1135, 0.5098) [16 per cell]  4 Al 2.65-2.75, 5 Hf 2.85-2.92

Its density of states at the Fermi level is 0.515 states/eV/atom. For the calculated formation energy, the calculation gives -444 meV/atom.

No. 2
Entry from Alexandria: Hf3Al2 at its PBEsol-relaxed geometry (SCAN).

Cell: 7.4798 7.4798 6.8427 Å, 90.00 90.00 90.00°
Closest atoms and distances in Å follow each position.
Space group P4_2/mnm (No. 136)
Inequivalent atoms, fractional coordinates:
Hf (0.0000, 0.5000, 0.2500) [4 per cell]  4 Al 2.99, 8 Hf 3.19-3.31
Hf (0.1526, 0.1526, 0.0000) [4 per cell]  6 Al 2.78-2.88
Hf (0.2051, 0.2051, 0.5000) [4 per cell]  6 Al 2.72-2.89
Al (0.1215, 0.8785, 0.2930) [8 per cell]  2 Al 2.57-2.83, 4 Hf 2.72-2.88

Its density of states at the Fermi level is 1.046 states/eV/atom. For the calculated formation energy, the calculation gives -327 meV/atom.

No. 3
Entry from Alexandria: HfAl at its PBEsol-relaxed geometry (SCAN).

Cell: 3.2014 10.8016 4.2699 Å, 90.00 90.00 90.00°
Closest atoms and distances in Å follow each position.
Space group Cmcm (No. 63)
Inequivalent atoms, fractional coordinates:
Hf (0.0000, 0.1641, 0.2500) [4 per cell]  7 Al 2.85-2.99
Al (0.0000, 0.4299, 0.2500) [4 per cell]  2 Al 2.62, 5 Hf 2.85-2.87

Its density of states at the Fermi level is 0.508 states/eV/atom. For the calculated formation energy, the calculation gives -419 meV/atom.